[1]
Material: Y2WAu
Method: DFT, GGA-PBE
State: optimized geometry

Properties
Space group   Pmmm
Distance to the lowest polymorph of the same formula   0.000 eV/atom

Unit cell a=3.4435 b=3.4902 c=7.5212 alpha=90.00 beta=90.00 gamma=90.00
With the nearest neighbours (Å) after each atom.
Atoms (fractional coordinates):
Y: 0.0000 0.0000 0.2403  4 W 3.05, 4 Au 3.13
Y: 0.0000 0.0000 0.7597  4 W 3.05, 4 Au 3.13
W: 0.5000 0.5000 0.0000  8 Y 3.05
Au: 0.5000 0.5000 0.5000  8 Y 3.13, 4 Au 3.44-3.49


[2]
Material: LaTeI
Method: DFT, GGA-PBE
State: optimized geometry

Properties
Space group   F-43m
Distance to the lowest polymorph of the same formula   0.106 eV/atom
Formation energy (no corrections)   -4.3 eV per formula unit

Unit cell a=5.4847 b=5.4847 c=5.4847 alpha=60.00 beta=60.00 gamma=60.00
With the nearest neighbours (Å) after each atom.
Atoms (fractional coordinates):
La: 0.0000 0.0000 0.0000  4 Te 3.36, 4 I 3.36
Te: 0.2500 0.2500 0.2500  4 La 3.36
I: 0.7500 0.7500 0.7500  4 La 3.36